No. 1
The following is a PBE calculation of LiMg3Ga6 after structural relaxation, from Alexandria via LeMat-Bulk.

M_tot: 0.0 μB/f.u.
E: -51.904 eV for the cell shown
Mass density: 4.305 g/cm3
DFT formation energy: -105 kJ/mol of formula units

POSCAR file:
```
LiMg3Ga6
1.0
9.472 0.000 0.000
0.000 4.060 0.000
-4.736 0.000 9.994
Li Mg Ga
2 6 12
Cartesian
1.556 1.015 1.575
3.180 3.045 8.420
-0.932 1.015 3.059
-1.410 1.015 8.241
-0.022 3.045 5.871
4.758 1.015 4.124
6.146 3.045 1.754
5.668 3.045 6.936
-0.364 3.045 0.988
-2.153 1.015 5.701
-2.497 3.045 9.902
1.750 1.015 4.306
3.199 3.045 2.590
0.441 3.045 9.038
4.295 1.015 0.956
1.537 1.015 7.404
2.986 3.045 5.689
7.233 1.015 0.092
6.889 3.045 4.293
5.101 1.015 9.006
```

=====

No. 2
The following is a PBE calculation of Sm8YEr2 after structural relaxation, from Alexandria via LeMat-Bulk.

M_tot: 0.0 μB/f.u.
E: -50.967 eV for the cell shown
Mass density: 7.213 g/cm3
DFT formation energy: 229 kJ/mol of formula units
Energy above the lowest structure with this stoichiometry: 0.49 eV per formula unit

POSCAR file:
```
Sm8YEr2
1.0
7.109 -3.367 0.000
7.109 3.367 0.000
-3.436 0.000 7.820
Sm Y Er
8 1 2
Cartesian
-1.869 0.000 7.756
3.698 1.744 4.836
0.787 0.000 6.033
7.085 1.744 2.984
3.698 -1.744 4.836
9.996 0.000 1.787
7.085 -1.744 2.984
12.652 0.000 0.064
7.109 0.000 0.000
4.194 0.000 1.892
6.589 0.000 5.928
```